A geometry-optimized CuPt3 structure, computed with PBE.

Summary:
energy relative to the elements = -0.129 eV per atom
VASP energy = -5.6833 eV/atom

The structure in CIF format:
```
data_CuPt3
_symmetry_space_group_name_H-M 'R -3 m'
_symmetry_Int_Tables_number 166
_symmetry_space_group_name_Hall '-R 3 2"'
_cell_length_a 2.7634
_cell_length_b 2.7634
_cell_length_c 26.9336
_cell_angle_alpha 90.00
_cell_angle_beta 90.00
_cell_angle_gamma 120.00
loop_
_atom_site_label
_atom_site_type_symbol
_atom_site_fract_x
_atom_site_fract_y
_atom_site_fract_z
Cu1 Cu 0.0000 0.0000 0.0000
Pt1 Pt 0.0000 0.0000 0.2546
Pt2 Pt 0.0000 0.0000 0.5000
```